[1]
Material: Ti4Zn3Cd
Method: DFT, PBE-GGA
State: relaxed

Values from the calculation:
For the formation energy, the calculation gives -0.717 eV per formula unit. Its space-group type is Pmmm.

a = 3.1874 Å, b = 4.5474 Å, c = 9.0518 Å
α = 90.00°, β = 90.00°, γ = 90.00°
Fractional positions:
Ti 0.0000 0.0000 0.0000
Ti 0.0000 0.0000 0.5000
Ti 0.0000 0.5000 0.2379
Ti 0.0000 0.5000 0.7621
Zn 0.5000 0.0000 0.2503
Zn 0.5000 0.0000 0.7497
Zn 0.5000 0.5000 0.0000
Cd 0.5000 0.5000 0.5000


[2]
Material: ZnAsRh2
Method: DFT, PBE-GGA
State: relaxed

Values from the calculation:
The distance to the lowest polymorph of the same formula comes out at 75 meV per atom. For the formation energy, the calculation gives -1.068 eV per formula unit. Its space-group type is R-3m.

a = 7.9734 Å, b = 7.9734 Å, c = 7.9734 Å
α = 21.49°, β = 21.49°, γ = 21.49°
Fractional positions:
Zn 0.0000 0.0000 0.0000
As 0.5000 0.5000 0.5000
Rh 0.2461 0.2461 0.2461
Rh 0.7539 0.7539 0.7539


no.,magnetization (μB/cell)
1,0.00
2,0.00